[1]
Compound: CsHfZn2C
Source: Alexandria
Functional: PBE
Structure: relaxed

The energy of formation from the pure elements is 2.4451 eV/atom.

It has space group P4/mmm (No. 123), with a = 5.4664 Å, b = 5.4664 Å, c = 4.4062 Å, α = 90.00°, β = 90.00° and γ = 90.00°. The inequivalent atoms are Cs at (0.0000, 0.0000, 0.0000), Hf at (0.5000, 0.5000, 0.5000), Zn at (0.0000, 0.5000, 0.0000) and C at (0.0000, 0.0000, 0.5000).

***

[2]
Compound: CaCrPt2
Source: Alexandria
Functional: PBE
Structure: relaxed

The energy of formation from the pure elements is -0.4155 eV/atom. For the distance to the lowest polymorph of the same formula, the calculation gives 0.0 meV per atom.

It has space group P4/mmm (No. 123), with a = 3.2167 Å, b = 3.2167 Å, c = 6.9504 Å, α = 90.00°, β = 90.00° and γ = 90.00°. The inequivalent atoms are Ca at (0.0000, 0.0000, 0.0000), Cr at (0.0000, 0.0000, 0.5000) and Pt at (0.5000, 0.5000, 0.2959).

***

[3]
Compound: Li5ZnCd8
Source: Alexandria
Functional: PBE
Structure: relaxed

The energy of formation from the pure elements is -0.0962 eV/atom.

It has space group I-4 (No. 82), with a = 8.0138 Å, b = 8.0138 Å, c = 8.8911 Å, α = 90.00°, β = 90.00° and γ = 90.00°. The inequivalent atoms are Li at (0.0000, 0.0000, 0.0000), Li at (0.1173, 0.7941, 0.4190), Zn at (0.0000, 0.5000, 0.7500), Cd at (0.0707, 0.6718, 0.0845) and Cd at (0.0978, 0.8255, 0.7480).

***

[4]
Compound: NaTe2IF
Source: Alexandria
Functional: PBE
Structure: relaxed

For the distance to the lowest polymorph of the same formula, the calculation gives 782.0 meV per atom.

It has space group P4/mmm (No. 123), with a = 5.5502 Å, b = 5.5502 Å, c = 5.5960 Å, α = 90.00°, β = 90.00° and γ = 90.00°. The inequivalent atoms are Na at (0.0000, 0.0000, 0.0000), Te at (0.0000, 0.5000, 0.0000), I at (0.0000, 0.0000, 0.5000) and F at (0.5000, 0.5000, 0.5000).

***

[5]
Compound: Mn2ZnOs
Source: Alexandria
Functional: PBE
Structure: relaxed

The energy of formation from the pure elements is 0.2289 eV/atom.

It has space group C2/m (No. 12), with a = 8.6616 Å, b = 2.7006 Å, c = 4.4964 Å, α = 90.00°, β = 100.46° and γ = 90.00°. The inequivalent atoms are Mn at (0.2482, 0.0000, 0.2480), Zn at (0.0000, 0.0000, 0.5000) and Os at (0.0000, 0.5000, 0.0000).

***

[6]
Compound: CaTb2YS4
Source: Alexandria
Functional: PBE
Structure: relaxed

It has space group P2/m (No. 10), with a = 6.8339 Å, b = 3.9272 Å, c = 6.8369 Å, α = 90.00°, β = 109.16° and γ = 90.00°. The inequivalent atoms are Ca at (0.0000, 0.0000, 0.0000), Tb at (0.0000, 0.5000, 0.5000), Tb at (0.5000, 0.0000, 0.5000), Y at (0.5000, 0.5000, 0.0000), S at (0.2504, 0.0000, 0.7508) and S at (0.2515, 0.5000, 0.2509).

***

[7]
Compound: TbNbAl2O8
Source: Alexandria
Functional: PBE
Structure: relaxed

It has space group I-4m2 (No. 119), with a = 6.7847 Å, b = 6.7847 Å, c = 6.3795 Å, α = 90.00°, β = 90.00° and γ = 90.00°. The inequivalent atoms are Tb at (0.0000, 0.0000, 0.0000), Nb at (0.0000, 0.5000, 0.7500), Al at (0.0000, 0.0000, 0.5000), Al at (0.0000, 0.5000, 0.2500), O at (0.0000, 0.2044, 0.6738) and O at (0.0000, 0.3245, 0.0491).

***

[8]
Compound: UCoPt
Source: Alexandria
Functional: PBE
Structure: relaxed

The energy of formation from the pure elements is -0.2854 eV/atom.

It has space group P-6m2 (No. 187), with a = 4.3952 Å, b = 4.3952 Å, c = 3.1627 Å, α = 90.00°, β = 90.00° and γ = 120.00°. The inequivalent atoms are U at (0.0000, 0.0000, 0.0000), Co at (0.3333, 0.6667, 0.5000) and Pt at (0.6667, 0.3333, 0.5000).

***

[9]
Compound: Li2PaTiSe4
Source: Alexandria
Functional: PBE
Structure: relaxed

It has space group P2/m (No. 10), with a = 6.5889 Å, b = 3.9020 Å, c = 6.9907 Å, α = 90.00°, β = 108.39° and γ = 90.00°. The inequivalent atoms are Li at (0.0000, 0.0000, 0.0000), Li at (0.5000, 0.5000, 0.0000), Pa at (0.0000, 0.5000, 0.5000), Ti at (0.5000, 0.0000, 0.5000), Se at (0.2674, 0.0000, 0.7584) and Se at (0.2683, 0.5000, 0.2561).

***

[10]
Compound: In2GePt3
Source: Alexandria
Functional: PBE
Structure: relaxed

The energy of formation from the pure elements is -0.4384 eV/atom.

It has space group P2_1/m (No. 11), with a = 6.9253 Å, b = 3.9453 Å, c = 8.4761 Å, α = 90.00°, β = 97.51° and γ = 90.00°. The inequivalent atoms are In at (0.0557, 0.2500, 0.3538), In at (0.1762, 0.2500, 0.9502), Ge at (0.4556, 0.2500, 0.6790), Pt at (0.2070, 0.7500, 0.1831), Pt at (0.2969, 0.7500, 0.5320) and Pt at (0.4394, 0.7500, 0.8712).

***

[11]
Compound: Ba3InPt8
Source: Alexandria
Functional: PBE
Structure: relaxed

The energy of formation from the pure elements is -0.5558 eV/atom. For the distance to the lowest polymorph of the same formula, the calculation gives 90.0 meV per atom.

It has space group P3m1 (No. 156), with a = 5.6312 Å, b = 5.6312 Å, c = 9.2956 Å, α = 90.00°, β = 90.00° and γ = 120.00°. The inequivalent atoms are Ba at (0.0000, 0.0000, 0.0000), Ba at (0.0000, 0.0000, 0.3732), Ba at (0.3333, 0.6667, 0.8540), In at (0.3333, 0.6667, 0.4889), Pt at (0.0035, 0.5017, 0.1909), Pt at (0.3337, 0.1669, 0.6760), Pt at (0.6667, 0.3333, 0.4346) and Pt at (0.6667, 0.3333, 0.9360).

***

[12]
Compound: FeMo
Source: Alexandria
Functional: PBE
Structure: relaxed

The energy of formation from the pure elements is 1.8054 eV/atom.

It has space group Pm-3n (No. 223), with a = 6.4818 Å, b = 6.4818 Å, c = 6.4818 Å, α = 90.00°, β = 90.00° and γ = 90.00°. The inequivalent atoms are Fe at (0.0000, 0.2500, 0.5000) and Mo at (0.0000, 0.5000, 0.2500).

***

[13]
Compound: Sm9Er2Th
Source: Alexandria
Functional: PBE
Structure: relaxed

The energy of formation from the pure elements is 0.0316 eV/atom.

It has space group P4/mmm (No. 123), with a = 5.0952 Å, b = 5.0952 Å, c = 15.2946 Å, α = 90.00°, β = 90.00° and γ = 90.00°. The inequivalent atoms are Sm at (0.0000, 0.0000, 0.0000), Sm at (0.0000, 0.0000, 0.3357), Sm at (0.0000, 0.5000, 0.1655), Sm at (0.0000, 0.5000, 0.5000), Er at (0.5000, 0.5000, 0.3339) and Th at (0.5000, 0.5000, 0.0000).

***

[14]
Compound: AlInNi
Source: Alexandria
Functional: PBE
Structure: relaxed

The energy of formation from the pure elements is -0.0494 eV/atom.

It has space group P3m1 (No. 156), with a = 3.0543 Å, b = 3.0543 Å, c = 6.2923 Å, α = 90.00°, β = 90.00° and γ = 120.00°. The inequivalent atoms are Al at (0.0000, 0.0000, 0.0000), In at (0.6667, 0.3333, 0.4025) and Ni at (0.3333, 0.6667, 0.7326).

***

Across the entries above, DFT total energy takes the values -2.071 -6.342 -1.394 -1.913 -7.482 -6.309 -7.626 -8.430 -5.650 -5.141 -5.292 -7.841 -4.887 -4.137 eV per atom, respectively.